The following is a DFT calculation (PBE) of a relaxed structure of TbPu2ThTe5.

The structure in POSCAR format:
```
TbPu2ThTe5
1.0
5.5266 0.0000 0.0000
0.0000 5.5266 0.0000
0.0000 0.0000 11.8029
Tb Pu Th Te
1 2 1 5
Cartesian
0.0000 0.0000 5.9015
2.7633 2.7633 3.9660
2.7633 2.7633 7.8369
0.0000 0.0000 0.0000
0.0000 2.7633 5.9015
2.7633 0.0000 5.9015
0.0000 0.0000 8.8922
0.0000 0.0000 2.9107
2.7633 2.7633 0.0000
```

Calculated values
SG	P4/mmm
final energy	-6.8288	eV per atom
volume	360.5	Å³/f.u.
ΔE_f (raw)	-560	meV/atom
spin magnetization	12.60	μB/f.u.